The following is a PBE-GGA calculation of CaY2S after structural relaxation, from the Alexandria database.

a b c (Å): 3.7643 3.7643 10.2260
angles (deg): 79.39 79.39 60.00
Closest atoms and distances in Å follow each position.
Sites, in units of the cell vectors:
Y  0.1136  0.1136  0.6591  3 S 2.69
Y  0.8864  0.8864  0.3409  3 S 2.69
Ca  0.0000  0.0000  0.0000  2 Y 3.41, 6 Ca 3.76
S  0.5000  0.5000  0.5000  6 Y 2.69

Computed properties:
The calculation puts the total energy at -0.2051 Ha/atom. The calculation puts the uncorrected formation energy at -0.817 eV per atom. As for the total magnetization: 0.0 μB/cell.